[1]
## ErAgP2O6 (PBE)

Data for a relaxed ErAgP2O6 crystal.

a b c (Å): 6.7265 6.7265 7.8060
angles (deg): 106.37 106.37 99.74
Last column: nearest neighbours and their distance in Å.
Sites, in units of the cell vectors:
Er1 0.5605 0.4395 0.2500  4 O 2.22-2.29
Er2 0.4395 0.5605 0.7500  4 O 2.22-2.29
Ag1 0.1508 0.8492 0.2500  2 P 2.40, 2 O 2.64
Ag2 0.8492 0.1508 0.7500  2 P 2.40, 2 O 2.64
P1 0.4903 0.1217 0.7528  3 O 1.52-1.54
P2 0.8783 0.5097 0.7472  3 O 1.52-1.54
P3 0.5097 0.8783 0.2472  3 O 1.52-1.54
P4 0.1217 0.4903 0.2528  3 O 1.52-1.54
O1 0.8973 0.4545 0.2636  1 P 1.52
O2 0.5455 0.1027 0.2364  1 P 1.52
O3 0.1027 0.5455 0.7364  1 P 1.52
O4 0.4545 0.8973 0.7636  1 P 1.52
O5 0.1618 0.3386 0.0849  1 P 1.54
O6 0.6614 0.8382 0.4151  1 P 1.54
O7 0.8382 0.6614 0.9151  1 P 1.54
O8 0.3386 0.1618 0.5849  1 P 1.54
O9 0.3044 0.5038 0.4304  1 P 1.54
O10 0.4962 0.6956 0.0696  1 P 1.54
O11 0.6956 0.4962 0.5696  1 P 1.54
O12 0.5038 0.3044 0.9304  1 P 1.54

Properties
* size of the total moment: 0.00 μB per atom
* volume: 313 Å³ per cell

[2]
## ErPaAgO6 (PBE)

Data for a relaxed ErPaAgO6 crystal.

a b c (Å): 4.9203 5.4628 5.4628
angles (deg): 120.00 90.00 90.00
Last column: nearest neighbours and their distance in Å.
Sites, in units of the cell vectors:
Er1 0.5000 0.6667 0.3333  6 O 2.24
Pa1 0.0000 0.3333 0.6667  6 O 2.18
Ag1 0.5000 0.0000 0.0000  6 O 2.16
O1 0.7438 0.6639 0.6789  1 Ag 2.16, 1 Pa 2.18, 1 Er 2.24
O2 0.7438 0.3211 0.9850  1 Ag 2.16, 1 Pa 2.18, 1 Er 2.24
O3 0.7438 0.0150 0.3361  1 Ag 2.16, 1 Pa 2.18, 1 Er 2.24
O4 0.2562 0.3211 0.3361  1 Ag 2.16, 1 Pa 2.18, 1 Er 2.24
O5 0.2562 0.6639 0.9850  1 Ag 2.16, 1 Pa 2.18, 1 Er 2.24
O6 0.2562 0.0150 0.6789  1 Ag 2.16, 1 Pa 2.18, 1 Er 2.24

Properties
* size of the total moment: 0.10 μB per atom
* volume: 127 Å³ per cell

[3]
## ErPaAg2O6 (PBE)

Data for a relaxed ErPaAg2O6 crystal.

a b c (Å): 6.1675 6.1675 6.1675
angles (deg): 55.41 55.41 55.41
Last column: nearest neighbours and their distance in Å.
Sites, in units of the cell vectors:
Er1 0.9955 0.9955 0.9955  6 O 2.22-2.33
Pa1 0.5080 0.5080 0.5080  6 O 2.18-2.21
Ag1 0.1970 0.1970 0.1970  6 O 2.26-2.30
Ag2 0.7371 0.7371 0.7371  3 O 2.26
O1 0.3682 0.1427 0.7819  1 Pa 2.21, 2 Ag 2.26-2.30, 1 Er 2.33
O2 0.1427 0.7819 0.3682  1 Pa 2.21, 2 Ag 2.26-2.30, 1 Er 2.33
O3 0.8892 0.2734 0.6075  1 Pa 2.18, 1 Er 2.22, 1 Ag 2.26
O4 0.6075 0.8892 0.2734  1 Pa 2.18, 1 Er 2.22, 1 Ag 2.26
O5 0.7819 0.3682 0.1427  1 Pa 2.21, 2 Ag 2.26-2.30, 1 Er 2.33
O6 0.2734 0.6075 0.8892  1 Pa 2.18, 1 Er 2.22, 1 Ag 2.26

Properties
* size of the total moment: 0.19 μB per atom
* volume: 148 Å³ per cell

[4]
## ErPa2AgO8 (PBE)

Data for a relaxed ErPa2AgO8 crystal.

a b c (Å): 5.3890 5.3890 6.6056
angles (deg): 114.07 114.07 90.00
Last column: nearest neighbours and their distance in Å.
Sites, in units of the cell vectors:
Er1 0.0000 0.0000 0.0000  8 O 2.34
Pa1 0.5000 0.5000 0.0000  8 O 2.30
Pa2 0.2500 0.7500 0.5000  8 O 2.29
Ag1 0.7500 0.2500 0.5000  8 O 2.41
O1 0.8782 0.8594 0.2448  2 Pa 2.29-2.30, 1 Er 2.34, 1 Ag 2.41, 1 O 2.55
O2 0.3666 0.3854 0.2448  2 Pa 2.29-2.30, 1 Er 2.34, 1 Ag 2.41, 1 O 2.55
O3 0.6145 0.6333 0.7551  2 Pa 2.29-2.30, 1 Er 2.34, 1 Ag 2.41, 1 O 2.55
O4 0.1405 0.1218 0.7551  2 Pa 2.29-2.30, 1 Er 2.34, 1 Ag 2.41, 1 O 2.55
O5 0.8782 0.3855 0.2449  2 Pa 2.29-2.30, 1 Er 2.34, 1 Ag 2.41, 1 O 2.55
O6 0.3667 0.8595 0.2449  2 Pa 2.29-2.30, 1 Er 2.34, 1 Ag 2.41, 1 O 2.55
O7 0.1406 0.6334 0.7552  2 Pa 2.29-2.30, 1 Er 2.34, 1 Ag 2.41, 1 O 2.55
O8 0.6146 0.1218 0.7552  2 Pa 2.29-2.30, 1 Er 2.34, 1 Ag 2.41, 1 O 2.55

Properties
* size of the total moment: 0.00 μB per atom
* volume: 157 Å³ per cell

These records have formation energy from raw total energies values of -2.1024; -2.2069; -2.0807; -2.7978 eV per atom, in the order they appear.
These records have total energy values of -6.90; -7.39; -7.03; -8.30 eV per atom, in the order they appear.